1.
Entry from OQMD: a relaxed structure of Cd2InCl2 (PBE).

Cell: 9.7952 6.2650 11.0107 Å, 62.11 34.42 83.47°
Positions (direct):
Cl 0.1401 0.9619 0.5394
Cl 0.7105 0.8914 0.1099
Cl 0.9619 0.1401 0.3586
Cl 0.8914 0.7105 0.2881
Cd 0.8162 0.2266 0.6762
Cd 0.9690 0.5738 0.0234
Cd 0.2266 0.8162 0.2810
Cd 0.5738 0.9690 0.4338
In 0.2745 0.2745 0.7255
In 0.5245 0.5245 0.9755

Computed properties:
Symmetry ... Fdd2, No. 43

***

2.
Entry from OQMD: a relaxed structure of K2CdInCl6 (PBE).

Cell: 7.4821 7.4821 7.4821 Å, 60.00 60.00 60.00°
Positions (direct):
Cl 0.7492 0.7492 0.2508
Cl 0.2508 0.7492 0.2508
Cl 0.2508 0.7492 0.7492
Cl 0.7492 0.2508 0.7492
Cl 0.2508 0.2508 0.7492
Cl 0.7492 0.2508 0.2508
In 0.0000 0.0000 0.0000
K 0.2500 0.2500 0.2500
K 0.7500 0.7500 0.7500
Cd 0.5000 0.5000 0.5000

Computed properties:
Symmetry ... Fm-3m, No. 225

***

3.
Entry from OQMD: a relaxed structure of K4CdCl6 (PBE).

Cell: 8.5925 8.5925 8.5925 Å, 89.64 89.64 89.64°
Positions (direct):
Cl 0.4437 0.5695 0.7973
Cl 0.2027 0.5563 0.4305
Cl 0.9437 0.2973 0.0695
Cl 0.7973 0.4437 0.5695
Cl 0.4305 0.2027 0.5563
Cl 0.0563 0.7027 0.9305
Cl 0.9305 0.0563 0.7027
Cl 0.5563 0.4305 0.2027
Cl 0.2973 0.0695 0.9437
Cl 0.5695 0.7973 0.4437
Cl 0.0695 0.9437 0.2973
Cl 0.7027 0.9305 0.0563
K 0.8714 0.6287 0.2500
K 0.6287 0.2500 0.8714
K 0.1286 0.3713 0.7500
K 0.7500 0.7500 0.7500
K 0.3713 0.7500 0.1286
K 0.7500 0.1287 0.3713
K 0.2500 0.2500 0.2500
K 0.2500 0.8713 0.6287
Cd 0.5000 0.5000 0.5000
Cd 0.0000 0.0000 0.0000

Computed properties:
Symmetry ... R-3c, No. 167

***

Number 1: E -2.1258 eV per atom. Number 2: E -3.0526 eV per atom. Number 3: E -3.2202 eV per atom.